No. 1
{
  "formula": "Cu6Pd8Au",
  "functional": "PBE",
  "state": "optimized geometry",
  "de_polymorph_ev_per_fu": 0.912,
  "e_tot_ev_per_fu": -67.54,
  "lattice_angstrom": [[7.693, 0.000, 0.000], [-3.846, 6.662, 0.000], [0.000, 0.000, 4.524]],
  "species": ["Cu", "Cu", "Cu", "Cu", "Cu", "Cu", "Pd", "Pd", "Pd", "Pd", "Pd", "Pd", "Pd", "Pd", "Au"],
  "frac_coords": [[0.134, 0.477, 0.385], [0.343, 0.866, 0.385], [0.477, 0.343, 0.615], [0.523, 0.657, 0.385], [0.657, 0.134, 0.615], [0.866, 0.523, 0.615], [0.006, 0.695, 0.126], [0.305, 0.311, 0.126], [0.311, 0.006, 0.874], [0.333, 0.667, 0.876], [0.667, 0.333, 0.124], [0.689, 0.994, 0.126], [0.695, 0.689, 0.874], [0.994, 0.305, 0.874], [0.000, 0.000, 0.500]]
}

---

No. 2
{
  "formula": "Na2PmPd6",
  "functional": "PBE",
  "state": "optimized geometry",
  "e_tot_ev_per_fu": -38.66,
  "lattice_angstrom": [[0.000, 4.593, 4.593], [4.593, 0.000, 4.593], [4.593, 4.593, 0.000]],
  "species": ["Na", "Na", "Pm", "Pd", "Pd", "Pd", "Pd", "Pd", "Pd"],
  "frac_coords": [[0.250, 0.250, 0.250], [0.750, 0.750, 0.750], [0.000, 0.000, 0.000], [0.289, 0.289, 0.711], [0.289, 0.711, 0.289], [0.289, 0.711, 0.711], [0.711, 0.289, 0.289], [0.711, 0.289, 0.711], [0.711, 0.711, 0.289]]
}

---

No. 3
{
  "formula": "CdNi2Mo",
  "functional": "PBE",
  "state": "optimized geometry",
  "e_tot_ev_per_fu": -22.37,
  "lattice_angstrom": [[-1.353, 2.249, 4.728], [1.353, -2.249, 4.728], [1.353, 2.249, -4.728]],
  "species": ["Cd", "Ni", "Ni", "Mo"],
  "frac_coords": [[0.000, 0.000, 0.000], [0.516, 0.516, 0.000], [0.734, 0.234, 0.500], [0.286, 0.786, 0.500]]
}

---

No. 4
{
  "formula": "ZnCd3Sb",
  "functional": "PBE",
  "state": "optimized geometry",
  "e_form_raw_mev_per_atom": 444,
  "de_polymorph_ev_per_fu": 0.475,
  "e_tot_ev_per_fu": -5.92,
  "lattice_angstrom": [[5.688, 0.000, 0.000], [0.000, 5.688, 0.000], [0.000, 0.000, 5.688]],
  "species": ["Zn", "Cd", "Cd", "Cd", "Sb"],
  "frac_coords": [[0.000, 0.000, 0.000], [0.000, 0.500, 0.500], [0.500, 0.000, 0.500], [0.500, 0.500, 0.000], [0.500, 0.500, 0.500]]
}

---

No. 5
{
  "formula": "Sm3Si2SnPt9",
  "functional": "PBE",
  "state": "optimized geometry",
  "e_form_raw_mev_per_atom": -728,
  "e_tot_ev_per_fu": -94.29,
  "lattice_angstrom": [[6.392, 0.000, 0.000], [-3.196, 5.536, 0.000], [0.000, 0.000, 9.336]],
  "species": ["Sm", "Sm", "Sm", "Si", "Si", "Sn", "Pt", "Pt", "Pt", "Pt", "Pt", "Pt", "Pt", "Pt", "Pt"],
  "frac_coords": [[0.000, 0.000, 0.000], [0.333, 0.667, 0.733], [0.667, 0.333, 0.267], [0.333, 0.667, 0.175], [0.667, 0.333, 0.825], [0.000, 0.000, 0.500], [0.000, 0.500, 0.000], [0.144, 0.289, 0.269], [0.144, 0.856, 0.269], [0.289, 0.144, 0.731], [0.500, 0.000, 0.000], [0.500, 0.500, 0.000], [0.711, 0.856, 0.269], [0.856, 0.144, 0.731], [0.856, 0.711, 0.731]]
}

---

No. 6
{
  "formula": "NaDyAs",
  "functional": "PBE",
  "state": "optimized geometry",
  "e_tot_ev_per_fu": -12.62,
  "lattice_angstrom": [[2.324, 1.342, 10.383], [-2.324, 1.342, 10.383], [0.000, -2.684, 10.383]],
  "species": ["Na", "Na", "Dy", "Dy", "As", "As"],
  "frac_coords": [[0.120, 0.120, 0.120], [0.880, 0.880, 0.880], [0.296, 0.296, 0.296], [0.704, 0.704, 0.704], [0.396, 0.396, 0.396], [0.604, 0.604, 0.604]]
}

---

no.,Fermi-level density of states (states/eV/cell)
1,13.4
2,6.5
3,3.6
4,1.6
5,7.7
6,2.0